# 1
# TaGeP2S PBE relaxed
# DOS(E_F) in states/eV/f.u.: 3.6
# Relative energy among the computed polymorphs in meV per atom: 330.4
# E_form (uncorrected) in eV/atom: 0.629
data_TaGeP2S
_chemical_formula_sum 'Ta1 Ge1 P2 S1'
_space_group_name_H-M_alt 'P 4/m m m'
_space_group_IT_number 123
_space_group_name_Hall '-P 4 2'
_cell_length_a 4.734
_cell_length_b 4.734
_cell_length_c 5.237
_cell_angle_alpha 90.00
_cell_angle_beta 90.00
_cell_angle_gamma 90.00
loop_
_atom_site_label
_atom_site_type_symbol
_atom_site_fract_x
_atom_site_fract_y
_atom_site_fract_z
_atom_site_occupancy
Ta1 Ta 0.000 0.000 0.000 1
Ge1 Ge 0.000 0.000 0.500 1
P1 P 0.000 0.500 0.000 1
S1 S 0.500 0.500 0.500 1



# 2
# SbTe PBE relaxed
# DOS(E_F) in states/eV/f.u.: 1.5
# Relative energy among the computed polymorphs in meV per atom: 193.8
# E_form (uncorrected) in eV/atom: 0.089
data_SbTe
_chemical_formula_sum 'Sb2 Te2'
_space_group_name_H-M_alt 'P 63/m m c'
_space_group_IT_number 194
_space_group_name_Hall '-P 6c 2c'
_cell_length_a 4.1602
_cell_length_b 4.1602
_cell_length_c 8.3733
_cell_angle_alpha 90.00
_cell_angle_beta 90.00
_cell_angle_gamma 120.00
loop_
_atom_site_label
_atom_site_type_symbol
_atom_site_fract_x
_atom_site_fract_y
_atom_site_fract_z
_atom_site_occupancy
Sb1 Sb 0.0000 0.0000 0.0000 1
Te1 Te 0.3333 0.6667 0.2500 1



# 3
# NiPW2 PBE relaxed
# DOS(E_F) in states/eV/f.u.: 2.3
# Energy relative to the elements in kJ/mol of formula units: 40
data_NiPW2
_chemical_formula_sum 'Ni1 P1 W2'
_space_group_name_H-M_alt 'P 4 m m'
_space_group_IT_number 99
_cell_length_a 2.895
_cell_length_b 2.895
_cell_length_c 6.642
_cell_angle_alpha 90.00
_cell_angle_beta 90.00
_cell_angle_gamma 90.00
loop_
_space_group_symop_operation_xyz
'x,y,z'
'-y,x,z'
'-x,-y,z'
'y,-x,z'
'-x,y,z'
'y,x,z'
'x,-y,z'
'-y,-x,z'
loop_
_atom_site_label
_atom_site_type_symbol
_atom_site_fract_x
_atom_site_fract_y
_atom_site_fract_z
_atom_site_occupancy
Ni1 Ni 0.000 0.000 0.000 1
P1 P 0.500 0.500 0.213 1
W1 W 0.000 0.000 0.425 1
W2 W 0.500 0.500 0.744 1



Results for final energy: -5.65, -3.54, -9.17 (in eV/atom, following the order of the records).